First-principles (GGA-PBE) data for crystalline CrCd2HgTe at its relaxed geometry, as listed in the Alexandria database.

## Properties
SG	P4/mmm, No. 123
V	36.0	A^3/atom
raw formation energy	0.550	eV/atom
DFT total energy	-0.1786	Ry per atom

POSCAR file:
```
CrCd2HgTe
1.0
5.9134 0.0000 0.0000
0.0000 5.9134 0.0000
0.0000 0.0000 5.1526
Cr Cd Hg Te
1 2 1 1
Direct
0.0000 0.0000 0.0000
0.0000 0.5000 0.5000
0.5000 0.0000 0.5000
0.5000 0.5000 0.0000
0.0000 0.0000 0.5000
```

=====

First-principles (GGA-PBE) data for crystalline BaV2NiAu at its relaxed geometry, as listed in the Alexandria database.

## Properties
SG	P4/mmm, No. 123
V	30.4	A^3/atom
E_form	1250	meV per atom
DFT total energy	-0.3376	Ry per atom

POSCAR file:
```
BaV2NiAu
1.0
5.0131 0.0000 0.0000
0.0000 5.0131 0.0000
0.0000 0.0000 6.0517
Ba V Ni Au
1 2 1 1
Direct
0.0000 0.0000 0.0000
0.0000 0.5000 0.5000
0.5000 0.0000 0.5000
0.5000 0.5000 0.0000
0.0000 0.0000 0.5000
```

=====

First-principles (GGA-PBE) data for crystalline Hf2ScPaP4 at its relaxed geometry, as listed in the Alexandria database.

## Properties
SG	P2/m, No. 10
V	19.2	A^3/atom
E_form	-1354	meV per atom
DFT total energy	-0.6266	Ry per atom

POSCAR file:
```
Hf2ScPaP4
1.0
6.5390 0.0000 0.0000
0.0000 3.7955 0.0000
-2.1848 0.0000 6.1755
Hf Sc Pa P
2 1 1 4
Direct
0.0000 0.0000 0.0000
0.5000 0.5000 0.0000
0.0000 0.5000 0.5000
0.5000 0.0000 0.5000
0.2391 0.5000 0.2374
0.2475 0.0000 0.7569
0.7525 0.0000 0.2431
0.7609 0.5000 0.7626
```

=====

First-principles (GGA-PBE) data for crystalline MgTa2RhBr at its relaxed geometry, as listed in the Alexandria database.

## Properties
SG	P4/mmm, No. 123
V	20.8	A^3/atom
raw formation energy	1.075	eV/atom
DFT total energy	-0.4256	Ry per atom

POSCAR file:
```
MgTa2RhBr
1.0
4.7272 0.0000 0.0000
0.0000 4.7272 0.0000
0.0000 0.0000 4.6450
Mg Ta Rh Br
1 2 1 1
Direct
0.0000 0.0000 0.0000
0.0000 0.5000 0.5000
0.5000 0.0000 0.5000
0.5000 0.5000 0.0000
0.5000 0.5000 0.5000
```

=====

First-principles (GGA-PBE) data for crystalline K2TlHgI6 at its relaxed geometry, as listed in the Alexandria database.

## Properties
SG	Fm-3m, No. 225
V	45.7	A^3/atom
energy relative to the lowest polymorph listed for this composition	43	meV per atom
raw formation energy	-0.705	eV/atom
DFT total energy	-0.1559	Ry per atom

POSCAR file:
```
K2TlHgI6
1.0
0.0000 6.1143 6.1143
6.1143 0.0000 6.1143
6.1143 6.1143 0.0000
K Tl Hg I
2 1 1 6
Direct
0.2500 0.2500 0.2500
0.7500 0.7500 0.7500
0.0000 0.0000 0.0000
0.5000 0.5000 0.5000
0.2541 0.2541 0.7459
0.2541 0.7459 0.2541
0.2541 0.7459 0.7459
0.7459 0.2541 0.2541
0.7459 0.2541 0.7459
0.7459 0.7459 0.2541
```

=====

First-principles (GGA-PBE) data for crystalline Y2Zn2Cu at its relaxed geometry, as listed in the Alexandria database.

## Properties
SG	P4/mbm, No. 127
V	21.3	A^3/atom
E_form	-217	meV per atom
DFT total energy	-0.3036	Ry per atom

POSCAR file:
```
Y2Zn2Cu
1.0
6.9386 0.0000 0.0000
0.0000 6.9386 0.0000
0.0000 0.0000 4.4146
Y Zn Cu
4 4 2
Direct
0.1732 0.3268 0.0000
0.3268 0.8268 0.0000
0.6732 0.1732 0.0000
0.8268 0.6732 0.0000
0.1307 0.6307 0.5000
0.3693 0.1307 0.5000
0.6307 0.8693 0.5000
0.8693 0.3693 0.5000
0.0000 0.0000 0.5000
0.5000 0.5000 0.5000
```

=====

First-principles (GGA-PBE) data for crystalline Rb2SrHg at its relaxed geometry, as listed in the Alexandria database.

## Properties
SG	I-42d, No. 122
V	61.1	A^3/atom
E_form	7	meV per atom
DFT total energy	-0.0715	Ry per atom

POSCAR file:
```
Rb2SrHg
1.0
-5.9951 5.9951 3.4017
5.9951 -5.9951 3.4017
5.9951 5.9951 -3.4017
Rb Sr Hg
4 2 2
Direct
0.0280 0.6250 0.9030
0.3750 0.2780 0.4030
0.7220 0.1250 0.0970
0.8750 0.9720 0.5970
0.2500 0.7500 0.5000
0.5000 0.5000 0.0000
0.0000 0.0000 0.0000
0.7500 0.2500 0.5000
```

=====

First-principles (GGA-PBE) data for crystalline Cs5ZnAs2 at its relaxed geometry, as listed in the Alexandria database.

## Properties
SG	P6_3/mmc, No. 194
V	48.0	A^3/atom
E_form	-321	meV per atom
DFT total energy	-0.1599	Ry per atom

POSCAR file:
```
Cs5ZnAs2
1.0
6.5129 0.0000 0.0000
-3.2564 5.6403 0.0000
0.0000 0.0000 20.8903
Cs Zn As
10 2 4
Direct
0.0000 0.0000 0.1410
0.0000 0.0000 0.3590
0.0000 0.0000 0.6410
0.0000 0.0000 0.8590
0.3333 0.6667 0.0415
0.3333 0.6667 0.2500
0.3333 0.6667 0.4585
0.6667 0.3333 0.5415
0.6667 0.3333 0.7500
0.6667 0.3333 0.9585
0.3333 0.6667 0.7500
0.6667 0.3333 0.2500
0.3333 0.6667 0.6377
0.3333 0.6667 0.8623
0.6667 0.3333 0.1377
0.6667 0.3333 0.3623
```

=====

First-principles (GGA-PBE) data for crystalline ZrTi2Co at its relaxed geometry, as listed in the Alexandria database.

## Properties
SG	I-42d, No. 122
V	17.5	A^3/atom
energy relative to the lowest polymorph listed for this composition	262	meV per atom
E_form	41	meV per atom
DFT total energy	-0.5747	Ry per atom

POSCAR file:
```
ZrTi2Co
1.0
-3.5736 3.5736 2.7359
3.5736 -3.5736 2.7359
3.5736 3.5736 -2.7359
Zr Ti Co
2 4 2
Direct
0.0000 0.0000 0.0000
0.7500 0.2500 0.5000
0.1845 0.6250 0.0595
0.3750 0.4345 0.5595
0.5655 0.1250 0.9405
0.8750 0.8155 0.4405
0.2500 0.7500 0.5000
0.5000 0.5000 0.0000
```

=====

First-principles (GGA-PBE) data for crystalline KSn3Ir at its relaxed geometry, as listed in the Alexandria database.

## Properties
SG	Pnma, No. 62
V	25.6	A^3/atom
energy relative to the lowest polymorph listed for this composition	0	meV per atom
E_form	-204	meV per atom
DFT total energy	-0.3379	Ry per atom

POSCAR file:
```
KSn3Ir
1.0
8.9184 0.0000 0.0000
0.0000 4.6081 0.0000
0.0000 0.0000 12.4752
K Sn Ir
4 12 4
Direct
0.1732 0.2500 0.0085
0.3268 0.7500 0.5085
0.6732 0.2500 0.4915
0.8268 0.7500 0.9915
0.0669 0.2500 0.5761
0.1300 0.7500 0.2191
0.1333 0.7500 0.8003
0.3667 0.2500 0.3003
0.3700 0.2500 0.7191
0.4331 0.7500 0.0761
0.5669 0.2500 0.9239
0.6300 0.7500 0.2809
0.6333 0.7500 0.6997
0.8667 0.2500 0.1997
0.8700 0.2500 0.7809
0.9331 0.7500 0.4239
0.0754 0.2500 0.3531
0.4246 0.7500 0.8531
0.5754 0.2500 0.1469
0.9246 0.7500 0.6469
```

=====

First-principles (GGA-PBE) data for crystalline Mg2ZrPt2 at its relaxed geometry, as listed in the Alexandria database.

## Properties
SG	P4/mbm, No. 127
V	19.1	A^3/atom
energy relative to the lowest polymorph listed for this composition	43	meV per atom
E_form	-716	meV per atom
DFT total energy	-0.4027	Ry per atom

POSCAR file:
```
Mg2ZrPt2
1.0
7.0101 0.0000 0.0000
0.0000 7.0101 0.0000
0.0000 0.0000 3.8896
Mg Zr Pt
4 2 4
Direct
0.1603 0.3397 0.0000
0.3397 0.8397 0.0000
0.6603 0.1603 0.0000
0.8397 0.6603 0.0000
0.0000 0.0000 0.5000
0.5000 0.5000 0.5000
0.1370 0.6370 0.5000
0.3630 0.1370 0.5000
0.6370 0.8630 0.5000
0.8630 0.3630 0.5000
```